Crystalline MgReSe at its relaxed geometry, computed with PBE.

Cell: 4.2512 4.2512 3.3567 Å, 90.00 90.00 120.00°
Positions (direct):
Se1 0.6667 0.3333 0.5001
Mg1 0.0000 0.0000 0.9999
Re1 0.3333 0.6667 0.5000

Properties
The total DFT energy (no corrections) is -0.4058 Ry/atom. The raw formation energy comes out at 0.3215 eV/atom. As for the space group: P-6m2 (187). For the size of the total moment, the calculation gives 0.000 μB per atom. The density of states at the Fermi level is 0.755 states/eV/atom. The energy above the most stable polymorph in this dataset comes out at 249 meV per atom.